(1)
Computed, not measured: a geometry-optimized BaNbV3 structure at the PBE-GGA level of DFT.

Lattice parameters (Å, degrees): 4.9812 4.9812 4.9812 90.00 90.00 90.00
Closest atoms and distances in Å follow each position.
Space group Pm-3m (No. 221)
Asymmetric unit:
Ba 0.0000 0.0000 0.0000 (multiplicity 1)  12 V 3.52
Nb 0.5000 0.5000 0.5000 (multiplicity 1)  6 V 2.49
V 0.0000 0.5000 0.5000 (multiplicity 3)  2 Nb 2.49

## Properties
Energy relative to the lowest polymorph listed for this composition   0.0 meV per atom
ρ   5.1 Mg/m³



(2)
Computed, not measured: a geometry-optimized BaNbV3 structure at the PBE-GGA level of DFT.

Lattice parameters (Å, degrees): 4.7377 4.7377 4.7377 90.00 90.00 90.00
Closest atoms and distances in Å follow each position.
Space group Pm-3m (No. 221)
Asymmetric unit:
Ba 0.0000 0.0000 0.0000 (multiplicity 1)  6 V 2.37
Nb 0.5000 0.5000 0.5000 (multiplicity 1)  12 V 3.35
V 0.0000 0.0000 0.5000 (multiplicity 3)  2 Ba 2.37

## Properties
Energy relative to the lowest polymorph listed for this composition   1265.0 meV per atom
ρ   6.0 Mg/m³



(3)
Computed, not measured: a geometry-optimized BaNbV structure at the PBE-GGA level of DFT.

Lattice parameters (Å, degrees): 4.6003 4.6003 31.7519 90.00 90.00 120.00
Closest atoms and distances in Å follow each position.
Space group R-3m (No. 166, hexagonal axes)
Asymmetric unit:
Ba 0.0000 0.0000 0.2292 (multiplicity 6)  3 V 3.49, 1 Nb 3.66
Nb 0.0000 0.0000 0.3445 (multiplicity 6)  6 V 2.74-3.00, 3 Nb 2.75
V 0.0000 0.0000 0.0329 (multiplicity 6)  1 V 2.09

## Properties
Energy relative to the lowest polymorph listed for this composition   20.7 meV per atom
ρ   4.8 Mg/m³



(4)
Computed, not measured: a geometry-optimized BaNbV2 structure at the PBE-GGA level of DFT.

Lattice parameters (Å, degrees): 6.9546 6.9546 6.9546 90.00 90.00 90.00
Closest atoms and distances in Å follow each position.
Space group Fm-3m (No. 225)
Asymmetric unit:
Ba 0.0000 0.0000 0.0000 (multiplicity 4)  8 V 3.01
Nb 0.0000 0.0000 0.5000 (multiplicity 4)  8 V 3.01
V 0.2500 0.2500 0.2500 (multiplicity 8)  4 Ba 3.01, 4 Nb 3.01

## Properties
Energy relative to the lowest polymorph listed for this composition   0.0 meV per atom
ρ   6.6 Mg/m³



(5)
Computed, not measured: a geometry-optimized BaNbV structure at the PBE-GGA level of DFT.

Lattice parameters (Å, degrees): 7.9727 4.6052 10.6622 90.00 90.17 90.00
Closest atoms and distances in Å follow each position.
Space group C2/m (No. 12)
Asymmetric unit:
Ba 0.1680 0.0000 0.3097 (multiplicity 4)  3 V 3.49, 1 Nb 3.66
Nb 0.1666 0.0000 0.9662 (multiplicity 4)  6 V 2.74-3.01, 3 Nb 2.75
V 0.0005 0.5000 0.0978 (multiplicity 4)  1 V 2.09

## Properties
Energy relative to the lowest polymorph listed for this composition   21.7 meV per atom
ρ   4.8 Mg/m³



(6)
Computed, not measured: a geometry-optimized Ba2NbV2 structure at the PBE-GGA level of DFT.

Lattice parameters (Å, degrees): 6.7252 6.7252 5.8371 90.00 90.00 90.00
Closest atoms and distances in Å follow each position.
Space group P4/mbm (No. 127)
Asymmetric unit:
Ba 0.2047 0.2953 0.0000 (multiplicity 4)  4 Ba 3.42, 6 V 3.43-3.65, 4 Nb 3.79
Nb 0.0000 0.0000 0.5000 (multiplicity 2)  4 V 2.74
V 0.1063 0.6063 0.5000 (multiplicity 4)  1 V 2.02

## Properties
Energy relative to the lowest polymorph listed for this composition   0.0 meV per atom
ρ   5.9 Mg/m³



(7)
Computed, not measured: a geometry-optimized Ba3NbV structure at the PBE-GGA level of DFT.

Lattice parameters (Å, degrees): 6.0404 6.0404 6.0404 90.00 90.00 90.00
Closest atoms and distances in Å follow each position.
Space group Pm-3m (No. 221)
Asymmetric unit:
Ba 0.0000 0.0000 0.5000 (multiplicity 3)  2 Nb 3.02
Nb 0.0000 0.0000 0.0000 (multiplicity 1)  6 Ba 3.02
V 0.5000 0.5000 0.5000 (multiplicity 1)  12 Ba 4.27

## Properties
Energy relative to the lowest polymorph listed for this composition   0.0 meV per atom
ρ   4.2 Mg/m³



(8)
Computed, not measured: a geometry-optimized BaNbV structure at the PBE-GGA level of DFT.

Lattice parameters (Å, degrees): 7.8160 4.4972 10.9945 90.00 90.15 90.00
Closest atoms and distances in Å follow each position.
Space group Cm (No. 8)
Asymmetric unit:
Ba 0.0000 0.0000 0.0000 (multiplicity 2)  3 Nb 3.48-3.49
Ba 0.1633 0.5000 0.3704 (multiplicity 2)  3 V 3.49, 1 Nb 3.64
Nb 0.1649 0.5000 0.7011 (multiplicity 2)  6 V 2.67-2.92, 3 Nb 2.77-2.78
Nb 0.3322 0.0000 0.7891 (multiplicity 2)  1 V 2.28
V 0.3312 0.0000 0.5819 (multiplicity 2)  1 Nb 2.28
V 0.4982 0.5000 0.6449 (multiplicity 2)  3 Nb 2.67-2.68, 3 V 2.69

## Properties
Energy relative to the lowest polymorph listed for this composition   70.3 meV per atom
ρ   4.8 Mg/m³



(9)
Computed, not measured: a geometry-optimized Ba2NbV2 structure at the PBE-GGA level of DFT.

Lattice parameters (Å, degrees): 4.3450 4.3450 13.9732 90.00 90.00 90.00
Closest atoms and distances in Å follow each position.
Space group I4/mmm (No. 139)
Asymmetric unit:
Ba 0.0000 0.5000 0.2500 (multiplicity 4)  4 Ba 3.07, 4 V 3.36
Nb 0.0000 0.0000 0.0000 (multiplicity 2)  8 V 3.21
V 0.0000 0.0000 0.4332 (multiplicity 4)  1 V 1.87

## Properties
Energy relative to the lowest polymorph listed for this composition   308.9 meV per atom
ρ   5.9 Mg/m³



(10)
Computed, not measured: a geometry-optimized BaNbV structure at the PBE-GGA level of DFT.

Lattice parameters (Å, degrees): 24.5825 4.0005 3.4168 90.00 96.84 90.00
Closest atoms and distances in Å follow each position.
Space group C2/m (No. 12)
Asymmetric unit:
Ba 0.1734 0.0000 0.4555 (multiplicity 4)  1 V 3.30, 2 Ba 3.42
Nb 0.0506 0.5000 0.7935 (multiplicity 4)  6 V 2.64-2.96
V 0.0386 0.0000 0.2814 (multiplicity 4)  2 V 2.54-2.55, 4 Nb 2.64-2.65

## Properties
Energy relative to the lowest polymorph listed for this composition   7.2 meV per atom
ρ   5.6 Mg/m³



(11)
Computed, not measured: a geometry-optimized BaNbV2 structure at the PBE-GGA level of DFT.

Lattice parameters (Å, degrees): 5.2075 5.2075 17.1384 90.00 90.00 90.00
Closest atoms and distances in Å follow each position.
Space group I4_1/amd (No. 141, origin choice 2)
Asymmetric unit:
Ba 0.0000 0.2500 0.3750 (multiplicity 4)  8 V 3.61, 4 Nb 3.68
Nb 0.0000 0.2500 0.8750 (multiplicity 4)  4 V 2.51
V 0.0000 0.0000 0.0000 (multiplicity 8)  2 Nb 2.51, 2 V 2.60

## Properties
Energy relative to the lowest polymorph listed for this composition   203.9 meV per atom
ρ   4.7 Mg/m³



(12)
Computed, not measured: a geometry-optimized BaNbV structure at the PBE-GGA level of DFT.

Lattice parameters (Å, degrees): 3.4495 4.0227 12.0997 90.00 90.26 90.00
Closest atoms and distances in Å follow each position.
Space group P2_1 (No. 4)
Asymmetric unit:
Ba 0.0056 0.0000 0.3452 (multiplicity 2)  1 V 3.30, 2 Ba 3.45
Nb 0.4983 0.9969 0.8968 (multiplicity 2)  6 V 2.68-2.74
V 0.0012 0.9969 0.0723 (multiplicity 2)  2 V 2.67, 6 Nb 2.68-2.74

## Properties
Energy relative to the lowest polymorph listed for this composition   0.0 meV per atom
ρ   5.6 Mg/m³



(13)
Computed, not measured: a geometry-optimized BaNbV structure at the PBE-GGA level of DFT.

Lattice parameters (Å, degrees): 3.4490 3.4490 12.8436 90.00 90.00 90.00
Closest atoms and distances in Å follow each position.
Space group I4mm (No. 107)
Asymmetric unit:
Ba 0.0000 0.0000 0.0000 (multiplicity 2)  4 Ba 3.45, 5 V 3.62-3.74, 5 Nb 3.62-3.71
Nb 0.0000 0.0000 0.7178 (multiplicity 2)  4 V 2.62
V 0.0000 0.0000 0.2914 (multiplicity 2)  4 Nb 2.62

## Properties
Energy relative to the lowest polymorph listed for this composition   345.9 meV per atom
ρ   6.1 Mg/m³



Calculated energy of formation from the pure elements (eV per atom), listed in the same order as above: 1.1972, 2.4622, 0.4206, 1.1024, 0.4216, 1.0652, 1.2990, 0.4702, 1.3741, 0.4071, 1.3064, 0.3999, 0.7458
Calculated raw total energy (Ha/atom), listed in the same order as above: -0.2452, -0.1987, -0.2432, -0.2372, -0.2431, -0.1972, -0.1357, -0.2413, -0.1858, -0.2436, -0.2297, -0.2439, -0.2312